## InHg2PtF (PBE-GGA)

Data for a relaxed structure of InHg2PtF.

Summary:
Fermi-level density of states (states/eV/f.u.): 5.32
E_form (uncorrected) (meV per atom): 305
Magnetization (μB per atom): 0.058

a b c (Å): 5.619 5.619 5.061
angles (deg): 90.00 90.00 90.00
Element x y z (fractional)
In1 0.000 0.000 0.000
Hg1 0.000 0.500 0.000
Hg2 0.500 0.000 0.000
Pt1 0.000 0.000 0.500
F1 0.500 0.500 0.500

---

## RbInHgF6 (PBE-GGA)

Data for a relaxed structure of RbInHgF6.

Summary:
Fermi-level density of states (states/eV/f.u.): 0.00
E_form (uncorrected) (meV per atom): -2230
Magnetization (μB per atom): 0.000

a b c (Å): 7.807 7.807 7.807
angles (deg): 122.14 118.70 89.30
Element x y z (fractional)
Rb1 0.414 0.164 0.250
Rb2 0.586 0.836 0.750
In1 0.000 0.500 0.500
In2 0.500 0.500 0.000
Hg1 0.000 0.000 0.500
Hg2 0.000 0.500 0.000
F1 0.100 0.850 0.250
F2 0.161 0.438 0.335
F3 0.161 0.826 0.723
F4 0.184 0.434 0.750
F5 0.396 0.174 0.835
F6 0.396 0.562 0.223
F7 0.604 0.438 0.777
F8 0.604 0.826 0.165
F9 0.816 0.566 0.250
F10 0.839 0.174 0.277
F11 0.839 0.562 0.665
F12 0.900 0.150 0.750

---

## RbInHg2F8 (PBE-GGA)

Data for a relaxed structure of RbInHg2F8.

Summary:
Fermi-level density of states (states/eV/f.u.): 0.00
E_form (uncorrected) (meV per atom): -2005
Magnetization (μB per atom): 0.000

a b c (Å): 4.824 5.645 7.923
angles (deg): 82.28 87.17 89.61
Element x y z (fractional)
Rb1 0.000 0.000 0.000
In1 0.000 0.000 0.500
Hg1 0.455 0.469 0.247
Hg2 0.545 0.531 0.753
F1 0.106 0.751 0.713
F2 0.142 0.784 0.322
F3 0.366 0.229 0.479
F4 0.471 0.273 0.971
F5 0.529 0.727 0.029
F6 0.634 0.771 0.521
F7 0.858 0.216 0.678
F8 0.894 0.249 0.287

---

## InHgRhF2 (PBE-GGA)

Data for a relaxed structure of InHgRhF2.

Summary:
Fermi-level density of states (states/eV/f.u.): 1.31
E_form (uncorrected) (meV per atom): -217
Magnetization (μB per atom): 0.009

a b c (Å): 4.224 4.224 6.680
angles (deg): 90.00 90.00 90.00
Element x y z (fractional)
In1 0.000 0.000 0.000
Hg1 0.000 0.000 0.500
Rh1 0.500 0.500 0.000
F1 0.000 0.500 0.500
F2 0.500 0.000 0.500

---

## ScInHgF2 (PBE-GGA)

Data for a relaxed structure of ScInHgF2.

Summary:
Fermi-level density of states (states/eV/f.u.): 3.13
E_form (uncorrected) (meV per atom): -1088
Magnetization (μB per atom): 0.084

a b c (Å): 4.310 4.310 5.824
angles (deg): 90.00 90.00 90.00
Element x y z (fractional)
Sc1 0.000 0.000 0.000
In1 0.500 0.500 0.500
Hg1 0.500 0.500 0.000
F1 0.000 0.500 0.500
F2 0.500 0.000 0.500

---

## InHg3Se2F6 (PBE-GGA)

Data for a relaxed structure of InHg3Se2F6.

Summary:
Fermi-level density of states (states/eV/f.u.): 4.79
E_form (uncorrected) (meV per atom): -1355
Magnetization (μB per atom): 0.088

a b c (Å): 7.586 7.586 4.964
angles (deg): 91.33 91.33 54.25
Element x y z (fractional)
In1 0.000 0.000 0.000
Hg1 0.000 0.500 0.000
Hg2 0.500 0.000 0.000
Hg3 0.500 0.500 0.500
Se1 0.306 0.306 0.345
Se2 0.694 0.694 0.655
F1 0.129 0.129 0.779
F2 0.170 0.701 0.770
F3 0.299 0.830 0.230
F4 0.701 0.170 0.770
F5 0.830 0.299 0.230
F6 0.871 0.871 0.221

---

## InSiHgF6 (PBE-GGA)

Data for a relaxed structure of InSiHgF6.

Summary:
Fermi-level density of states (states/eV/f.u.): 1.10
E_form (uncorrected) (meV per atom): -2420
Magnetization (μB per atom): 0.000

a b c (Å): 4.617 4.991 6.307
angles (deg): 85.91 75.11 84.49
Element x y z (fractional)
In1 0.000 0.000 0.000
Si1 0.621 0.517 0.705
Hg1 0.396 0.982 0.288
F1 0.343 0.374 0.906
F2 0.372 0.817 0.722
F3 0.486 0.404 0.508
F4 0.754 0.628 0.914
F5 0.856 0.220 0.712
F6 0.883 0.672 0.517

---

## InHgTeF2 (PBE-GGA)

Data for a relaxed structure of InHgTeF2.

Summary:
Fermi-level density of states (states/eV/f.u.): 0.85
E_form (uncorrected) (meV per atom): -1328
Magnetization (μB per atom): 0.000

a b c (Å): 4.352 4.352 5.992
angles (deg): 90.00 90.00 90.00
Element x y z (fractional)
In1 0.000 0.000 0.000
Hg1 0.500 0.500 0.500
Te1 0.000 0.000 0.500
F1 0.000 0.500 0.000
F2 0.500 0.000 0.000

---

## TiInHgF6 (PBE-GGA)

Data for a relaxed structure of TiInHgF6.

Summary:
Fermi-level density of states (states/eV/f.u.): 1.53
E_form (uncorrected) (meV per atom): -2578
Magnetization (μB per atom): 0.000

a b c (Å): 4.766 5.153 6.680
angles (deg): 88.66 69.18 86.37
Element x y z (fractional)
Ti1 0.000 0.000 0.000
In1 0.650 0.500 0.700
Hg1 0.283 0.501 0.431
F1 0.107 0.147 0.207
F2 0.265 0.689 0.970
F3 0.340 0.144 0.780
F4 0.687 0.853 0.207
F5 0.765 0.311 0.970
F6 0.880 0.856 0.780

---

## Tl2InHgF6 (PBE-GGA)

Data for a relaxed structure of Tl2InHgF6.

Summary:
Fermi-level density of states (states/eV/f.u.): 2.95
E_form (uncorrected) (meV per atom): -1880
Magnetization (μB per atom): 0.082

a b c (Å): 6.349 9.260 6.989
angles (deg): 90.00 90.00 90.00
Element x y z (fractional)
Tl1 0.250 0.030 0.199
Tl2 0.250 0.470 0.199
Tl3 0.750 0.530 0.801
Tl4 0.750 0.970 0.801
In1 0.250 0.750 0.779
In2 0.750 0.250 0.221
Hg1 0.250 0.250 0.708
Hg2 0.750 0.750 0.292
F1 0.004 0.750 0.987
F2 0.005 0.750 0.578
F3 0.250 0.522 0.807
F4 0.250 0.978 0.807
F5 0.495 0.750 0.578
F6 0.496 0.750 0.987
F7 0.504 0.250 0.013
F8 0.505 0.250 0.422
F9 0.750 0.022 0.193
F10 0.750 0.478 0.193
F11 0.995 0.250 0.422
F12 0.996 0.250 0.013

---

## TlInHg2F8 (PBE-GGA)

Data for a relaxed structure of TlInHg2F8.

Summary:
Fermi-level density of states (states/eV/f.u.): 0.00
E_form (uncorrected) (meV per atom): -1836
Magnetization (μB per atom): 0.000

a b c (Å): 4.843 5.548 7.794
angles (deg): 94.60 91.19 90.88
Element x y z (fractional)
Tl1 0.000 0.000 0.000
In1 0.000 0.000 0.500
Hg1 0.471 0.478 0.752
Hg2 0.529 0.522 0.248
F1 0.125 0.761 0.291
F2 0.139 0.779 0.687
F3 0.358 0.242 0.515
F4 0.460 0.267 0.024
F5 0.540 0.733 0.976
F6 0.642 0.758 0.485
F7 0.861 0.221 0.313
F8 0.875 0.239 0.709

---

## TlInHgF6 (PBE-GGA)

Data for a relaxed structure of TlInHgF6.

Summary:
Fermi-level density of states (states/eV/f.u.): 0.00
E_form (uncorrected) (meV per atom): -1993
Magnetization (μB per atom): 0.000

a b c (Å): 7.799 7.799 7.799
angles (deg): 122.64 118.71 88.87
Element x y z (fractional)
Tl1 0.417 0.167 0.250
Tl2 0.583 0.833 0.750
In1 0.000 0.500 0.500
In2 0.500 0.500 0.000
Hg1 0.000 0.000 0.500
Hg2 0.000 0.500 0.000
F1 0.100 0.850 0.250
F2 0.163 0.436 0.336
F3 0.163 0.827 0.727
F4 0.182 0.432 0.750
F5 0.400 0.173 0.836
F6 0.400 0.564 0.227
F7 0.600 0.436 0.773
F8 0.600 0.827 0.164
F9 0.818 0.568 0.250
F10 0.837 0.173 0.273
F11 0.837 0.564 0.664
F12 0.900 0.150 0.750